[1]
A relaxed KSrZn crystal, computed with PBE.

The energy above the most stable polymorph in this dataset is 0.00 eV per formula unit.

a = 4.459 Å, b = 26.493 Å, c = 4.537 Å
α = 90.00°, β = 90.00°, γ = 90.00°
Space group Cmcm (No. 63)
Symmetry-distinct sites (fractional):
K (0.000, 0.185, 0.250) [4 per cell]
Sr (0.000, 0.432, 0.250) [4 per cell]
Zn (0.000, 0.026, 0.250) [4 per cell]

***

[2]
A relaxed KSr2Zn crystal, computed with PBE.

a = 5.349 Å, b = 5.349 Å, c = 12.312 Å
α = 90.00°, β = 90.00°, γ = 90.00°
Space group I-4m2 (No. 119)
Symmetry-distinct sites (fractional):
K (0.000, 0.000, 0.000) [2 per cell]
Sr (0.000, 0.000, 0.500) [2 per cell]
Sr (0.000, 0.500, 0.750) [2 per cell]
Zn (0.000, 0.500, 0.250) [2 per cell]

***

[3]
A relaxed KSr2Zn crystal, computed with PBE.

a = 7.955 Å, b = 12.552 Å, c = 4.104 Å
α = 90.00°, β = 115.53°, γ = 90.00°
Space group C2/m (No. 12)
Symmetry-distinct sites (fractional):
K (0.000, 0.000, 0.000) [2 per cell]
Sr (0.250, 0.250, 0.500) [4 per cell]
Zn (0.000, 0.500, 0.000) [2 per cell]

***

[4]
A relaxed KSr2Zn crystal, computed with PBE.

a = 4.180 Å, b = 4.180 Å, c = 10.504 Å
α = 90.00°, β = 90.00°, γ = 90.00°
Space group P4mm (No. 99)
Symmetry-distinct sites (fractional):
K (0.000, 0.000, 0.000) [1 per cell]
Sr (0.000, 0.000, 0.628) [1 per cell]
Sr (0.500, 0.500, 0.341) [1 per cell]
Zn (0.500, 0.500, 0.769) [1 per cell]

***

[5]
A relaxed KSr2Zn crystal, computed with PBE.

a = 5.905 Å, b = 5.905 Å, c = 4.972 Å
α = 90.00°, β = 90.00°, γ = 90.00°
Space group P4/mmm (No. 123)
Symmetry-distinct sites (fractional):
K (0.000, 0.000, 0.000) [1 per cell]
Sr (0.000, 0.500, 0.500) [2 per cell]
Zn (0.500, 0.500, 0.000) [1 per cell]

***

[6]
A relaxed KSrZn crystal, computed with PBE.

The energy above the most stable polymorph in this dataset is 0.40 eV per formula unit.

a = 4.071 Å, b = 4.071 Å, c = 15.225 Å
α = 90.00°, β = 90.00°, γ = 90.00°
Space group I4mm (No. 107)
Symmetry-distinct sites (fractional):
K (0.000, 0.000, 0.000) [2 per cell]
Sr (0.000, 0.000, 0.262) [2 per cell]
Zn (0.000, 0.000, 0.654) [2 per cell]

***

[7]
A relaxed KSrZn crystal, computed with PBE.

The energy above the most stable polymorph in this dataset is 0.70 eV per formula unit.

a = 8.108 Å, b = 8.108 Å, c = 8.108 Å
α = 90.00°, β = 90.00°, γ = 90.00°
Space group F-43m (No. 216)
Symmetry-distinct sites (fractional):
K (0.000, 0.000, 0.000) [4 per cell]
Sr (0.000, 0.000, 0.500) [4 per cell]
Zn (0.250, 0.250, 0.250) [4 per cell]

***

[8]
A relaxed KSr2Zn crystal, computed with PBE.

a = 4.223 Å, b = 6.844 Å, c = 13.132 Å
α = 90.00°, β = 90.00°, γ = 90.00°
Space group Immm (No. 71)
Symmetry-distinct sites (fractional):
K (0.000, 0.000, 0.000) [2 per cell]
Sr (0.000, 0.500, 0.191) [4 per cell]
Zn (0.000, 0.000, 0.500) [2 per cell]

***

[9]
A relaxed KSr2Zn crystal, computed with PBE.

a = 7.812 Å, b = 4.590 Å, c = 11.708 Å
α = 90.00°, β = 104.29°, γ = 90.00°
Space group C2/m (No. 12)
Symmetry-distinct sites (fractional):
K (0.000, 0.000, 0.000) [2 per cell]
Sr (0.224, 0.000, 0.663) [4 per cell]
Zn (0.000, 0.500, 0.500) [2 per cell]

***

[10]
A relaxed KSr2Zn crystal, computed with PBE.

a = 4.600 Å, b = 4.464 Å, c = 9.835 Å
α = 90.00°, β = 103.40°, γ = 90.00°
Space group Pm (No. 6)
Symmetry-distinct sites (fractional):
K (0.000, 0.000, 0.000) [1 per cell]
Sr (0.329, 0.500, 0.656) [1 per cell]
Sr (0.692, 0.000, 0.376) [1 per cell]
Zn (0.158, 0.500, 0.307) [1 per cell]

***

[11]
A relaxed K4SrZn crystal, computed with PBE.

a = 11.439 Å, b = 11.439 Å, c = 11.439 Å
α = 90.00°, β = 90.00°, γ = 90.00°
Space group F-43m (No. 216)
Symmetry-distinct sites (fractional):
K (0.125, 0.125, 0.125) [16 per cell]
Sr (0.250, 0.250, 0.750) [4 per cell]
Zn (0.000, 0.000, 0.500) [4 per cell]

***

[12]
A relaxed KSr2Zn crystal, computed with PBE.

a = 8.899 Å, b = 8.899 Å, c = 8.899 Å
α = 90.00°, β = 90.00°, γ = 90.00°
Space group F-43m (No. 216)
Symmetry-distinct sites (fractional):
K (0.000, 0.000, 0.000) [4 per cell]
Sr (0.000, 0.000, 0.500) [4 per cell]
Sr (0.250, 0.250, 0.750) [4 per cell]
Zn (0.250, 0.250, 0.250) [4 per cell]

***

[13]
A relaxed KSr2Zn crystal, computed with PBE.

a = 4.012 Å, b = 4.012 Å, c = 11.038 Å
α = 90.00°, β = 90.00°, γ = 90.00°
Space group P4/mmm (No. 123)
Symmetry-distinct sites (fractional):
K (0.000, 0.000, 0.000) [1 per cell]
Sr (0.500, 0.500, 0.331) [2 per cell]
Zn (0.000, 0.000, 0.500) [1 per cell]

***

[14]
A relaxed KSr2Zn crystal, computed with PBE.

a = 10.117 Å, b = 10.117 Å, c = 7.747 Å
α = 90.00°, β = 90.00°, γ = 90.00°
Space group I-42d (No. 122)
Symmetry-distinct sites (fractional):
K (0.000, 0.000, 0.000) [4 per cell]
Sr (0.164, 0.250, 0.625) [8 per cell]
Zn (0.000, 0.000, 0.500) [4 per cell]

***

[15]
A relaxed KSrZn crystal, computed with PBE.

The energy above the most stable polymorph in this dataset is 0.59 eV per formula unit.

a = 4.4528 Å, b = 4.4528 Å, c = 8.1483 Å
α = 90.00°, β = 90.00°, γ = 120.00°
Space group P3m1 (No. 156)
Symmetry-distinct sites (fractional):
K (0.0000, 0.0000, 0.0000) [1 per cell]
Sr (0.3333, 0.6667, 0.4746) [1 per cell]
Zn (0.6667, 0.3333, 0.7109) [1 per cell]

***

[16]
A relaxed KSr3Zn crystal, computed with PBE.

The energy above the most stable polymorph in this dataset is 0.00 eV per formula unit.

a = 6.363 Å, b = 6.363 Å, c = 6.363 Å
α = 90.00°, β = 90.00°, γ = 90.00°
Space group Pm-3m (No. 221)
Symmetry-distinct sites (fractional):
K (0.000, 0.000, 0.000) [1 per cell]
Sr (0.000, 0.500, 0.500) [3 per cell]
Zn (0.500, 0.500, 0.500) [1 per cell]

***

[17]
A relaxed KSr2Zn crystal, computed with PBE.

a = 4.205 Å, b = 4.294 Å, c = 22.110 Å
α = 90.00°, β = 90.00°, γ = 90.00°
Space group Imm2 (No. 44)
Symmetry-distinct sites (fractional):
K (0.000, 0.000, 0.000) [2 per cell]
Sr (0.000, 0.000, 0.339) [2 per cell]
Sr (0.000, 0.500, 0.174) [2 per cell]
Zn (0.000, 0.500, 0.729) [2 per cell]

***

[18]
A relaxed KSr2Zn crystal, computed with PBE.

a = 7.887 Å, b = 4.556 Å, c = 11.645 Å
α = 90.00°, β = 103.22°, γ = 90.00°
Space group Cm (No. 8)
Symmetry-distinct sites (fractional):
K (0.000, 0.000, 0.000) [2 per cell]
Sr (0.222, 0.000, 0.664) [2 per cell]
Sr (0.445, 0.000, 0.339) [2 per cell]
Zn (0.333, 0.500, 0.501) [2 per cell]

***

[19]
A relaxed K2SrZr crystal, computed with PBE.

The energy above the most stable polymorph in this dataset is 0.72 eV per formula unit.

a = 7.553 Å, b = 14.324 Å, c = 3.689 Å
α = 90.00°, β = 116.21°, γ = 90.00°
Space group C2/m (No. 12)
Symmetry-distinct sites (fractional):
K (0.250, 0.250, 0.000) [4 per cell]
Sr (0.000, 0.000, 0.500) [2 per cell]
Zr (0.000, 0.500, 0.500) [2 per cell]

***

[20]
A relaxed KSr2Zr crystal, computed with PBE.

The energy above the most stable polymorph in this dataset is 0.87 eV per formula unit.

a = 3.901 Å, b = 6.617 Å, c = 13.752 Å
α = 90.00°, β = 90.00°, γ = 90.00°
Space group Imm2 (No. 44)
Symmetry-distinct sites (fractional):
K (0.000, 0.000, 0.000) [2 per cell]
Sr (0.000, 0.000, 0.552) [2 per cell]
Sr (0.000, 0.500, 0.772) [2 per cell]
Zr (0.000, 0.500, 0.266) [2 per cell]

***

[21]
A relaxed K2SrZr crystal, computed with PBE.

The energy above the most stable polymorph in this dataset is 0.66 eV per formula unit.

a = 3.8043 Å, b = 3.8043 Å, c = 42.9671 Å
α = 90.00°, β = 90.00°, γ = 120.00°
Space group R-3m (No. 166, hexagonal axes)
Symmetry-distinct sites (fractional):
K (0.0000, 0.0000, 0.2419) [6 per cell]
Sr (0.0000, 0.0000, 0.0000) [3 per cell]
Zr (0.0000, 0.0000, 0.5000) [3 per cell]

***

[22]
A relaxed KSr2Zr crystal, computed with PBE.

The energy above the most stable polymorph in this dataset is 0.86 eV per formula unit.

a = 12.292 Å, b = 3.742 Å, c = 7.707 Å
α = 90.00°, β = 96.67°, γ = 90.00°
Space group C2/m (No. 12)
Symmetry-distinct sites (fractional):
K (0.000, 0.000, 0.000) [2 per cell]
Sr (0.240, 0.000, 0.718) [4 per cell]
Zr (0.000, 0.500, 0.500) [2 per cell]

***

[23]
A relaxed KSr3Zr crystal, computed with PBE.

The energy above the most stable polymorph in this dataset is 0.00 eV per formula unit.

a = 6.583 Å, b = 6.583 Å, c = 6.583 Å
α = 90.00°, β = 90.00°, γ = 90.00°
Space group Pm-3m (No. 221)
Symmetry-distinct sites (fractional):
K (0.000, 0.000, 0.000) [1 per cell]
Sr (0.000, 0.500, 0.500) [3 per cell]
Zr (0.500, 0.500, 0.500) [1 per cell]

***

[24]
A relaxed K2SrZr crystal, computed with PBE.

The energy above the most stable polymorph in this dataset is 0.00 eV per formula unit.

a = 5.250 Å, b = 5.266 Å, c = 13.185 Å
α = 90.00°, β = 90.00°, γ = 90.00°
Space group Cmm2 (No. 35)
Symmetry-distinct sites (fractional):
K (0.000, 0.000, 0.000) [2 per cell]
K (0.000, 0.500, 0.306) [2 per cell]
Sr (0.000, 0.500, 0.716) [2 per cell]
Zr (0.000, 0.000, 0.532) [2 per cell]

***

[25]
A relaxed KSr2Zr crystal, computed with PBE.

The energy above the most stable polymorph in this dataset is 0.00 eV per formula unit.

a = 3.830 Å, b = 3.830 Å, c = 12.087 Å
α = 90.00°, β = 90.00°, γ = 90.00°
Space group P4/mmm (No. 123)
Symmetry-distinct sites (fractional):
K (0.000, 0.000, 0.000) [1 per cell]
Sr (0.500, 0.500, 0.305) [2 per cell]
Zr (0.000, 0.000, 0.500) [1 per cell]

***

[26]
A relaxed K2SrZr crystal, computed with PBE.

The energy above the most stable polymorph in this dataset is 0.95 eV per formula unit.

a = 3.820 Å, b = 7.281 Å, c = 13.811 Å
α = 90.00°, β = 90.00°, γ = 90.00°
Space group Imm2 (No. 44)
Symmetry-distinct sites (fractional):
K (0.000, 0.000, 0.000) [2 per cell]
K (0.000, 0.500, 0.234) [2 per cell]
Sr (0.000, 0.500, 0.780) [2 per cell]
Zr (0.000, 0.000, 0.492) [2 per cell]

***

[27]
A relaxed KSr3Zr crystal, computed with PBE.

The energy above the most stable polymorph in this dataset is 3.01 eV per formula unit.

a = 6.271 Å, b = 6.271 Å, c = 6.271 Å
α = 90.00°, β = 90.00°, γ = 90.00°
Space group Pm-3m (No. 221)
Symmetry-distinct sites (fractional):
K (0.000, 0.000, 0.000) [1 per cell]
Sr (0.000, 0.000, 0.500) [3 per cell]
Zr (0.500, 0.500, 0.500) [1 per cell]

***

[28]
A relaxed KSr2Zr crystal, computed with PBE.

The energy above the most stable polymorph in this dataset is 1.10 eV per formula unit.

a = 3.938 Å, b = 7.037 Å, c = 13.120 Å
α = 90.00°, β = 90.00°, γ = 90.00°
Space group Immm (No. 71)
Symmetry-distinct sites (fractional):
K (0.000, 0.000, 0.000) [2 per cell]
Sr (0.000, 0.500, 0.227) [4 per cell]
Zr (0.000, 0.000, 0.500) [2 per cell]

***

[29]
A relaxed KSr2Zr crystal, computed with PBE.

The energy above the most stable polymorph in this dataset is 0.62 eV per formula unit.

a = 3.722 Å, b = 3.722 Å, c = 12.524 Å
α = 90.00°, β = 90.00°, γ = 90.00°
Space group P4mm (No. 99)
Symmetry-distinct sites (fractional):
K (0.000, 0.000, 0.000) [1 per cell]
Sr (0.000, 0.000, 0.568) [1 per cell]
Sr (0.500, 0.500, 0.300) [1 per cell]
Zr (0.500, 0.500, 0.762) [1 per cell]

***

[30]
A relaxed KSr2Zr crystal, computed with PBE.

The energy above the most stable polymorph in this dataset is 1.22 eV per formula unit.

a = 5.467 Å, b = 5.467 Å, c = 11.809 Å
α = 90.00°, β = 90.00°, γ = 90.00°
Space group I-4m2 (No. 119)
Symmetry-distinct sites (fractional):
K (0.000, 0.000, 0.000) [2 per cell]
Sr (0.000, 0.000, 0.500) [2 per cell]
Sr (0.000, 0.500, 0.750) [2 per cell]
Zr (0.000, 0.500, 0.250) [2 per cell]

***

ΔE_f for the records above, in order: -8.60, 19.57, 22.15, 3.84, 17.23, 4.22, 14.05, 7.08, -0.18, 2.79, 28.86, 25.21, -5.19, 14.15, 10.37, 0.10, 3.18, -0.40, 71.70, 61.39, 70.32, 61.04, 63.77, 54.30, 40.36, 77.32, 121.92, 66.81, 55.35, 69.89 kJ per mole of atoms
Total moment for the records above, in order: 0.000, 0.000, 0.000, 0.141, 0.001, 0.003, 0.000, 0.001, 0.001, 0.001, 0.000, 0.007, 0.000, 0.000, 0.000, 0.000, 0.000, 0.000, 5.705, 5.216, 7.224, 4.854, 2.980, 2.406, 0.000, 6.817, 2.989, 5.562, 0.948, 6.288 μB/cell
Final energy for the records above, in order: -1.44, -1.23, -1.20, -1.39, -1.26, -1.31, -1.21, -1.36, -1.44, -1.40, -0.93, -1.17, -1.49, -1.29, -1.24, -1.48, -1.40, -1.44, -2.36, -2.62, -2.38, -2.62, -2.28, -2.54, -2.83, -2.30, -1.67, -2.56, -2.68, -2.53 eV per atom